The following is a DFT calculation (PBE) of a relaxed structure of KBaFe2.

The structure in extended XYZ format:
```
4
Lattice="-2.818 4.159 -6.178 -0.036 -5.735 0.207 -3.620 0.002 -0.507" Properties=species:S:1:pos:R:3 pbc="T T T"
Fe -3.219 2.081 -3.342
Fe 0.000 0.000 0.000
Ba -1.427 -0.788 -2.985
K -1.828 -2.866 -0.150
```

formation energy from the elements: 1198 meV per atom
V: 116.9 Å³/f.u.
excess energy over the best structure of this formula in the dataset: 558 meV/atom
Fermi-level density of states: 5.7 states/eV per cell